Entry 1:
Below is a relaxed CaTh3Pd12 crystal, with properties calculated at the PBE-GGA level.

Cell lengths 4.2080, 4.2080, 16.6642 Å; angles 90.00, 90.00, 90.00 degrees
Space group P4/mmm (No. 123)
Asymmetric unit:
1 Ca 0.0000 0.0000 0.0000 [1 per cell]
2 Th 0.0000 0.0000 0.2426 [2 per cell]
3 Th 0.0000 0.0000 0.5000 [1 per cell]
4 Pd 0.0000 0.5000 0.1251 [4 per cell]
5 Pd 0.0000 0.5000 0.3748 [4 per cell]
6 Pd 0.5000 0.5000 0.0000 [1 per cell]
7 Pd 0.5000 0.5000 0.2512 [2 per cell]
8 Pd 0.5000 0.5000 0.5000 [1 per cell]

## Properties
Its total energy is -100.67 eV per cell. The density of states at the Fermi level is 2.78 states/eV/f.u.

Entry 2:
Below is a relaxed CaTh2Pd7 crystal, with properties calculated at the PBE-GGA level.

Cell lengths 7.2470, 15.0735, 4.3898 Å; angles 90.00, 90.00, 90.00 degrees
Space group Cmmm (No. 65)
Asymmetric unit:
1 Ca 0.0000 0.0000 0.0000 [2 per cell]
2 Th 0.0000 0.3085 0.5000 [4 per cell]
3 Pd 0.0000 0.1910 0.0000 [4 per cell]
4 Pd 0.0000 0.5000 0.5000 [2 per cell]
5 Pd 0.1850 0.1032 0.5000 [8 per cell]

## Properties
Its total energy is -113.58 eV per cell. The density of states at the Fermi level is 6.15 states/eV/f.u.

Entry 3:
Below is a relaxed CaThPd4 crystal, with properties calculated at the PBE-GGA level.

Cell lengths 4.2189, 20.3026, 5.8285 Å; angles 90.00, 90.00, 90.00 degrees
Space group Cmcm (No. 63)
Asymmetric unit:
1 Ca 0.0000 0.2261 0.2500 [4 per cell]
2 Th 0.0000 0.0795 0.7500 [4 per cell]
3 Pd 0.0000 0.0718 0.2500 [4 per cell]
4 Pd 0.0000 0.3568 0.5106 [8 per cell]
5 Pd 0.0000 0.5000 0.0000 [4 per cell]

## Properties
Its total energy is -140.74 eV per cell. The density of states at the Fermi level is 1.66 states/eV/f.u.

Entry 4:
Below is a relaxed CaThTlPd crystal, with properties calculated at the PBE-GGA level.

Cell lengths 7.4842, 7.4842, 7.4842 Å; angles 90.00, 90.00, 90.00 degrees
Space group F-43m (No. 216)
Asymmetric unit:
1 Ca 0.0000 0.0000 0.0000 [4 per cell]
2 Th 0.0000 0.0000 0.5000 [4 per cell]
3 Tl 0.2500 0.2500 0.2500 [4 per cell]
4 Pd 0.2500 0.2500 0.7500 [4 per cell]

## Properties
Its total energy is -74.06 eV per cell. The density of states at the Fermi level is 2.86 states/eV/f.u.

Entry 5:
Below is a relaxed CaThZnPd crystal, with properties calculated at the PBE-GGA level.

Cell lengths 7.2382, 7.2382, 7.2382 Å; angles 90.00, 90.00, 90.00 degrees
Space group F-43m (No. 216)
Asymmetric unit:
1 Ca 0.0000 0.0000 0.0000 [4 per cell]
2 Th 0.0000 0.0000 0.5000 [4 per cell]
3 Zn 0.2500 0.2500 0.2500 [4 per cell]
4 Pd 0.2500 0.2500 0.7500 [4 per cell]

## Properties
Its total energy is -70.14 eV per cell. The density of states at the Fermi level is 3.58 states/eV/f.u.

Entry 6:
Below is a relaxed Ca2Ti2Pd crystal, with properties calculated at the PBE-GGA level.

Cell lengths 4.0888, 4.0888, 14.1237 Å; angles 90.00, 90.00, 90.00 degrees
Space group I4/mmm (No. 139)
Asymmetric unit:
1 Ca 0.0000 0.5000 0.2500 [4 per cell]
2 Ti 0.0000 0.0000 0.0715 [4 per cell]
3 Pd 0.0000 0.0000 0.5000 [2 per cell]

## Properties
Its total energy is -42.40 eV per cell. The density of states at the Fermi level is 8.97 states/eV/f.u.

Entry 7:
Below is a relaxed CaTi3Pd crystal, with properties calculated at the PBE-GGA level.

Cell lengths 4.5485, 4.5485, 4.5485 Å; angles 90.00, 90.00, 90.00 degrees
Space group Pm-3m (No. 221)
Asymmetric unit:
1 Ca 0.0000 0.0000 0.0000 [1 per cell]
2 Ti 0.0000 0.0000 0.5000 [3 per cell]
3 Pd 0.5000 0.5000 0.5000 [1 per cell]

## Properties
Its total energy is -22.74 eV per cell. The density of states at the Fermi level is 10.71 states/eV/f.u.

Entry 8:
Below is a relaxed Ca2Ti2Pd crystal, with properties calculated at the PBE-GGA level.

Cell lengths 6.7171, 6.7171, 5.3570 Å; angles 90.00, 90.00, 90.00 degrees
Space group P4/mbm (No. 127)
Asymmetric unit:
1 Ca 0.1801 0.3199 0.0000 [4 per cell]
2 Ti 0.1406 0.6406 0.5000 [4 per cell]
3 Pd 0.0000 0.0000 0.5000 [2 per cell]

## Properties
Its total energy is -48.51 eV per cell. The density of states at the Fermi level is 4.43 states/eV/f.u.

Entry 9:
Below is a relaxed CaTiPd6 crystal, with properties calculated at the PBE-GGA level.

Cell lengths 4.0297, 4.0297, 8.0489 Å; angles 90.00, 90.00, 90.00 degrees
Space group P4/mmm (No. 123)
Asymmetric unit:
1 Ca 0.0000 0.0000 0.0000 [1 per cell]
2 Ti 0.0000 0.0000 0.5000 [1 per cell]
3 Pd 0.0000 0.5000 0.2699 [4 per cell]
4 Pd 0.5000 0.5000 0.0000 [1 per cell]
5 Pd 0.5000 0.5000 0.5000 [1 per cell]

## Properties
Its total energy is -45.67 eV per cell. The density of states at the Fermi level is 7.94 states/eV/f.u.

Entry 10:
Below is a relaxed CaTi2Pd crystal, with properties calculated at the PBE-GGA level.

Cell lengths 6.6692, 6.6692, 6.6692 Å; angles 90.00, 90.00, 90.00 degrees
Space group Fm-3m (No. 225)
Asymmetric unit:
1 Ca 0.0000 0.0000 0.0000 [4 per cell]
2 Ti 0.2500 0.2500 0.2500 [8 per cell]
3 Pd 0.0000 0.0000 0.5000 [4 per cell]

## Properties
Its total energy is -88.03 eV per cell. The density of states at the Fermi level is 7.71 states/eV/f.u.

Entry 11:
Below is a relaxed CaTiPd2 crystal, with properties calculated at the PBE-GGA level.

Cell lengths 6.6567, 6.6567, 6.6567 Å; angles 90.00, 90.00, 90.00 degrees
Space group Fm-3m (No. 225)
Asymmetric unit:
1 Ca 0.0000 0.0000 0.0000 [4 per cell]
2 Ti 0.0000 0.0000 0.5000 [4 per cell]
3 Pd 0.2500 0.2500 0.2500 [8 per cell]

## Properties
Its total energy is -87.69 eV per cell. The density of states at the Fermi level is 4.25 states/eV/f.u.

Entry 12:
Below is a relaxed CaTi2Pd crystal, with properties calculated at the PBE-GGA level.

Cell lengths 7.7529, 7.7529, 5.7509 Å; angles 90.00, 90.00, 90.00 degrees
Space group I-42d (No. 122)
Asymmetric unit:
1 Ca 0.0000 0.0000 0.0000 [4 per cell]
2 Ti 0.1880 0.2500 0.6250 [8 per cell]
3 Pd 0.0000 0.0000 0.5000 [4 per cell]

## Properties
Its total energy is -88.84 eV per cell. The density of states at the Fermi level is 2.93 states/eV/f.u.

Entry 13:
Below is a relaxed CaTiPd3 crystal, with properties calculated at the PBE-GGA level.

Cell lengths 4.7553, 4.7553, 4.7553 Å; angles 90.00, 90.00, 90.00 degrees
Space group Pm-3m (No. 221)
Asymmetric unit:
1 Ca 0.0000 0.0000 0.0000 [1 per cell]
2 Ti 0.5000 0.5000 0.5000 [1 per cell]
3 Pd 0.0000 0.5000 0.5000 [3 per cell]

## Properties
Its total energy is -26.18 eV per cell. The density of states at the Fermi level is 3.91 states/eV/f.u.

Entry 14:
Below is a relaxed CaTiPd2 crystal, with properties calculated at the PBE-GGA level.

Cell lengths 3.2447, 3.2447, 7.2020 Å; angles 90.00, 90.00, 90.00 degrees
Space group P4/mmm (No. 123)
Asymmetric unit:
1 Ca 0.0000 0.0000 0.0000 [1 per cell]
2 Ti 0.0000 0.0000 0.5000 [1 per cell]
3 Pd 0.5000 0.5000 0.3019 [2 per cell]

## Properties
Its total energy is -22.65 eV per cell. The density of states at the Fermi level is 2.64 states/eV/f.u.

Entry 15:
Below is a relaxed Ca2TiPd2 crystal, with properties calculated at the PBE-GGA level.

Cell lengths 6.9373, 6.9373, 4.6259 Å; angles 90.00, 90.00, 90.00 degrees
Space group P4/mbm (No. 127)
Asymmetric unit:
1 Ca 0.1719 0.3281 0.0000 [4 per cell]
2 Ti 0.0000 0.0000 0.5000 [2 per cell]
3 Pd 0.1398 0.6398 0.5000 [4 per cell]

## Properties
Its total energy is -48.44 eV per cell. The density of states at the Fermi level is 4.27 states/eV/f.u.

Entry 16:
Below is a relaxed CaTiPd2 crystal, with properties calculated at the PBE-GGA level.

Cell lengths 4.8989, 4.8989, 3.0471 Å; angles 90.00, 90.00, 90.00 degrees
Space group P4/mmm (No. 123)
Asymmetric unit:
1 Ca 0.0000 0.0000 0.0000 [1 per cell]
2 Ti 0.5000 0.5000 0.0000 [1 per cell]
3 Pd 0.0000 0.5000 0.5000 [2 per cell]

## Properties
Its total energy is -22.11 eV per cell. The density of states at the Fermi level is 3.28 states/eV/f.u.

Entry 17:
Below is a relaxed CaTi3Pd crystal, with properties calculated at the PBE-GGA level.

Cell lengths 4.9008, 4.9008, 4.9008 Å; angles 90.00, 90.00, 90.00 degrees
Space group Pm-3m (No. 221)
Asymmetric unit:
1 Ca 0.0000 0.0000 0.0000 [1 per cell]
2 Ti 0.0000 0.5000 0.5000 [3 per cell]
3 Pd 0.5000 0.5000 0.5000 [1 per cell]

## Properties
Its total energy is -28.65 eV per cell. The density of states at the Fermi level is 7.58 states/eV/f.u.

Entry 18:
Below is a relaxed Ca4TlPd2 crystal, with properties calculated at the PBE-GGA level.

Cell lengths 4.9022, 4.9022, 29.7752 Å; angles 90.00, 90.00, 120.00 degrees
Space group R-3m (No. 166, hexagonal axes)
Asymmetric unit:
1 Ca 0.0000 0.0000 0.1118 [6 per cell]
2 Ca 0.0000 0.0000 0.2979 [6 per cell]
3 Tl 0.0000 0.0000 0.5000 [3 per cell]
4 Pd 0.0000 0.0000 0.4044 [6 per cell]

## Properties
Its total energy is -71.51 eV per cell. The density of states at the Fermi level is 6.56 states/eV/f.u.

Entry 19:
Below is a relaxed CaTlPd crystal, with properties calculated at the PBE-GGA level.

Cell lengths 11.7549, 4.6446, 5.4946 Å; angles 90.00, 98.49, 90.00 degrees
Space group C2/m (No. 12)
Asymmetric unit:
1 Ca 0.1262 0.0000 0.3074 [4 per cell]
2 Tl 0.0838 0.5000 0.7744 [4 per cell]
3 Pd 0.2165 0.0000 0.8464 [4 per cell]

## Properties
Its total energy is -44.47 eV per cell. The density of states at the Fermi level is 1.51 states/eV/f.u.

Entry 20:
Below is a relaxed Ca2TlPd2 crystal, with properties calculated at the PBE-GGA level.

Cell lengths 3.8569, 3.8569, 17.0898 Å; angles 90.00, 90.00, 90.00 degrees
Space group I4/mmm (No. 139)
Asymmetric unit:
1 Ca 0.0000 0.0000 0.1211 [4 per cell]
2 Tl 0.0000 0.0000 0.5000 [2 per cell]
3 Pd 0.0000 0.5000 0.2500 [4 per cell]

## Properties
Its total energy is -37.43 eV per cell. The density of states at the Fermi level is 2.74 states/eV/f.u.

Entry 21:
Below is a relaxed CaTl4Pd6 crystal, with properties calculated at the PBE-GGA level.

Cell lengths 6.7509, 6.7509, 10.7248 Å; angles 90.00, 90.00, 90.00 degrees
Space group I-42m (No. 121)
Asymmetric unit:
1 Ca 0.0000 0.0000 0.0000 [2 per cell]
2 Tl 0.2207 0.2207 0.6854 [8 per cell]
3 Pd 0.0000 0.5000 0.0000 [4 per cell]
4 Pd 0.1600 0.1600 0.4138 [8 per cell]

## Properties
Its total energy is -89.37 eV per cell. The density of states at the Fermi level is 4.43 states/eV/f.u.

Entry 22:
Below is a relaxed Ca2TlPd crystal, with properties calculated at the PBE-GGA level.

Cell lengths 7.4125, 7.4125, 7.4125 Å; angles 90.00, 90.00, 90.00 degrees
Space group Fm-3m (No. 225)
Asymmetric unit:
1 Ca 0.2500 0.2500 0.2500 [8 per cell]
2 Tl 0.0000 0.0000 0.0000 [4 per cell]
3 Pd 0.0000 0.0000 0.5000 [4 per cell]

## Properties
Its total energy is -53.84 eV per cell. The density of states at the Fermi level is 2.58 states/eV/f.u.